# 1
A plane-wave DFT calculation with PBE was carried out for K6Au5 after structural relaxation.

Computed properties:
Magnetization in μB per atom: 0.00
Formation enthalpy at 0 K in eV per atom: -0.282
DOS(E_F) in states/eV/f.u.: 3.50

Lattice parameters (Å, degrees): 5.663 7.991 16.980 90.00 90.00 90.00
Space group Immm (No. 71)
Inequivalent atoms, fractional coordinates:
K 0.000 0.237 0.000 [4 per cell]
K 0.000 0.257 0.328 [8 per cell]
Au 0.000 0.000 0.168 [4 per cell]
Au 0.000 0.500 0.156 [4 per cell]
Au 0.000 0.500 0.500 [2 per cell]


# 2
A plane-wave DFT calculation with PBE was carried out for KAu3 after structural relaxation.

Computed properties:
Magnetization in μB per atom: 0.00
Formation enthalpy at 0 K in eV per atom: 0.036
DOS(E_F) in states/eV/f.u.: 0.77

Lattice parameters (Å, degrees): 7.188 8.437 2.855 90.00 90.00 90.00
Space group Cmmm (No. 65)
Inequivalent atoms, fractional coordinates:
K 0.000 0.000 0.000 [2 per cell]
Au 0.000 0.500 0.000 [2 per cell]
Au 0.250 0.250 0.500 [4 per cell]


Among the records above, which one has the highest formation enthalpy at 0 K? KAu3